Record 1
Computed, not measured: crystalline ScRe2Pt at its relaxed geometry at the PBE-GGA level of DFT.

Final energy ... -9.24 eV/atom
Fermi-level density of states ... 3.00 states/eV/cell
Formation energy ... 7 kJ/mol of atoms
Relative energy among the computed polymorphs ... 335 meV/atom
Magnetization ... 0.00 μB/f.u.
Symmetry ... Pmmm, No. 47

```
ScRe2Pt
1.0
2.6927 0.0000 0.0000
0.0000 4.2375 0.0000
0.0000 0.0000 5.7121
Sc Re Pt
1 2 1
Direct
0.0000 0.0000 0.0000
0.5000 0.5000 0.2699
0.5000 0.5000 0.7301
0.0000 0.0000 0.5000
```

=====

Record 2
Computed, not measured: crystalline ScRe4Pt at its relaxed geometry at the PBE-GGA level of DFT.

Final energy ... -10.32 eV/atom
Fermi-level density of states ... 4.96 states/eV/cell
Formation energy ... 4 kJ/mol of atoms
Magnetization ... 0.00 μB/f.u.
Symmetry ... F-43m, No. 216

```
ScRe4Pt
1.0
0.0000 3.6850 3.6850
3.6850 0.0000 3.6850
3.6850 3.6850 0.0000
Sc Re Pt
1 4 1
Direct
0.0000 0.0000 0.0000
0.1271 0.6243 0.6243
0.6243 0.1271 0.6243
0.6243 0.6243 0.1271
0.6243 0.6243 0.6243
0.2500 0.2500 0.2500
```

=====

Record 3
Computed, not measured: crystalline ScRe2Pt at its relaxed geometry at the PBE-GGA level of DFT.

Final energy ... -9.45 eV/atom
Fermi-level density of states ... 3.79 states/eV/cell
Formation energy ... -12 kJ/mol of atoms
Relative energy among the computed polymorphs ... 133 meV/atom
Magnetization ... 0.00 μB/f.u.
Symmetry ... Cm, No. 8

```
ScRe2Pt
1.0
4.6088 -1.4034 0.0000
4.6088 1.4034 0.0000
-0.6987 0.0000 5.0080
Sc Re Pt
1 2 1
Direct
0.0000 0.0000 0.0000
0.2376 0.2376 0.6881
0.4913 0.4913 0.5114
0.7491 0.7491 0.2077
```

=====

Record 4
Computed, not measured: crystalline Re2PtSe at its relaxed geometry at the PBE-GGA level of DFT.

Final energy ... -8.40 eV/atom
Fermi-level density of states ... 4.55 states/eV/cell
Formation energy (no corrections) ... 0.21 eV/atom
Magnetization ... 0.00 μB/f.u.
Symmetry ... R3m, No. 160

```
Re2PtSe
1.0
1.4251 0.8228 9.0204
-1.4251 0.8228 9.0204
0.0000 -1.6455 9.0204
Re Pt Se
2 1 1
Direct
0.0000 0.0000 0.0000
0.2536 0.2536 0.2536
0.5034 0.5034 0.5034
0.7423 0.7423 0.7423
```

=====

Record 5
Computed, not measured: crystalline Re2PtSe at its relaxed geometry at the PBE-GGA level of DFT.

Final energy ... -7.89 eV/atom
Fermi-level density of states ... 4.09 states/eV/cell
Formation energy (no corrections) ... 0.71 eV/atom
Magnetization ... 0.00 μB/f.u.
Symmetry ... C2/m, No. 12

```
Re2PtSe
1.0
2.6806 -5.0290 0.0000
2.6806 5.0290 0.0000
-1.4378 0.0000 2.4103
Re Pt Se
2 1 1
Direct
0.0000 0.5000 0.0000
0.5000 0.0000 0.0000
0.0000 0.0000 0.0000
0.5000 0.5000 0.0000
```

=====

Record 6
Computed, not measured: crystalline Re2PtSe at its relaxed geometry at the PBE-GGA level of DFT.

Final energy ... -7.86 eV/atom
Fermi-level density of states ... 4.81 states/eV/cell
Formation energy (no corrections) ... 0.75 eV/atom
Magnetization ... 0.00 μB/f.u.
Symmetry ... Cmmm, No. 65

```
Re2PtSe
1.0
1.4107 -2.3658 0.0000
1.4107 2.3658 0.0000
0.0000 0.0000 9.6256
Re Pt Se
2 1 1
Direct
0.0000 0.0000 0.2464
0.0000 0.0000 0.7536
0.5000 0.5000 0.0000
0.5000 0.5000 0.5000
```

=====

Record 7
Computed, not measured: crystalline Re2PtSe at its relaxed geometry at the PBE-GGA level of DFT.

Final energy ... -8.11 eV/atom
Fermi-level density of states ... 3.94 states/eV/cell
Formation energy (no corrections) ... 0.50 eV/atom
Magnetization ... 0.00 μB/f.u.
Symmetry ... P2/m, No. 10

```
Re2PtSe
1.0
3.0079 0.0000 0.0000
0.0000 4.0246 0.0000
-1.4444 0.0000 5.1569
Re Pt Se
2 1 1
Direct
0.1318 0.0000 0.2585
0.8682 0.0000 0.7415
0.5000 0.5000 0.0000
0.5000 0.5000 0.5000
```

=====

Record 8
Computed, not measured: crystalline RePtSe3 at its relaxed geometry at the PBE-GGA level of DFT.

Final energy ... -4.85 eV/atom
Fermi-level density of states ... 5.05 states/eV/cell
Formation energy (no corrections) ... 0.94 eV/atom
Relative energy among the computed polymorphs ... 0 meV/atom
Magnetization ... 0.00 μB/f.u.
Symmetry ... Pm-3m, No. 221

```
RePtSe3
1.0
4.8271 0.0000 0.0000
0.0000 4.8271 0.0000
0.0000 0.0000 4.8271
Re Pt Se
1 1 3
Direct
0.0000 0.0000 0.0000
0.5000 0.5000 0.5000
0.0000 0.0000 0.5000
0.0000 0.5000 0.0000
0.5000 0.0000 0.0000
```

=====

Which of these has the lowest final energy? ScRe4Pt